Density functional theory data (GGA-PBE) for a relaxed YHfSe2 crystal.

Results
**Symmetry**: R-3m, No. 166
**E**: -6.860 eV/atom
**Uncorrected formation energy**: -1.013 eV/atom
**N(E_F)**: 3.0 states/eV/cell

a b c (Å): 9.2006 9.2006 9.2006
angles (deg): 23.33 23.33 23.33
Last column: nearest neighbours and their distance in Å.
Sites, in units of the cell vectors:
Se 0.1061 0.1061 0.1061  3 Hf 2.69, 1 Y 2.85
Y 0.0000 0.0000 0.0000  2 Se 2.85
Se 0.8939 0.8939 0.8939  3 Hf 2.69, 1 Y 2.85
Hf 0.5000 0.5000 0.5000  6 Se 2.69

---

Density functional theory data (GGA-PBE) for a relaxed YHfSe crystal.

Results
**Symmetry**: Immm, No. 71
**E**: -7.517 eV/atom
**Uncorrected formation energy**: -0.883 eV/atom
**N(E_F)**: 7.5 states/eV/cell

a b c (Å): 15.8969 4.1862 3.9418
angles (deg): 90.00 90.00 90.00
Last column: nearest neighbours and their distance in Å.
Sites, in units of the cell vectors:
Se 0.8691 0.5000 0.5000  4 Hf 2.87-2.95, 5 Y 2.97-3.04
Se 0.1309 0.5000 0.5000  4 Hf 2.87-2.95, 5 Y 2.97-3.04
Se 0.3691 0.0000 0.0000  4 Hf 2.87-2.95, 5 Y 2.97-3.04
Hf 0.5000 0.5000 0.0000  4 Hf 2.87, 4 Se 2.95
Hf 0.0000 0.0000 0.5000  4 Hf 2.87, 4 Se 2.95
Se 0.6309 0.0000 0.0000  4 Hf 2.87-2.95, 5 Y 2.97-3.04
Y 0.1780 0.0000 0.0000  5 Se 2.97-3.04
Hf 0.5000 0.0000 0.5000  4 Se 2.87, 4 Hf 2.87
Y 0.8220 0.0000 0.0000  5 Se 2.97-3.04
Hf 0.0000 0.5000 0.0000  4 Se 2.87, 4 Hf 2.87
Y 0.6780 0.5000 0.5000  5 Se 2.97-3.04
Y 0.3220 0.5000 0.5000  5 Se 2.97-3.04